Record 1
DFT (PBE) results for a geometry-optimized LiCd2Ag structure.

Offset from the most stable computed form: 0.019 eV per atom
ΔH_f (0 K): -181 meV per atom
Space-group type: P4/mmm, No. 123

Cell: 4.417 4.417 3.869 Å, 90.00 90.00 90.00°
Fractional positions:
Li (0.500, 0.000, 0.500)
Ag (0.000, 0.500, 0.500)
Cd (0.000, 0.000, 0.000)
Cd (0.500, 0.500, 0.000)

***

Record 2
DFT (PBE) results for a geometry-optimized Sm2Dy2Er5 structure.

Offset from the most stable computed form: 0.079 eV per atom
ΔH_f (0 K): 220 meV per atom
Space-group type: Ima2, No. 46

Cell: 11.714 6.682 10.028 Å, 109.46 125.73 90.00°
Fractional positions:
Sm (0.000, 0.009, 0.000)
Sm (0.500, 0.509, 0.000)
Sm (0.262, 0.358, 0.500)
Sm (0.738, 0.858, 0.500)
Dy (0.121, 0.684, 0.254)
Dy (0.879, 0.430, 0.746)
Dy (0.632, 0.184, 0.254)
Dy (0.368, 0.930, 0.746)
Er (0.204, 0.654, 0.894)
Er (0.796, 0.760, 0.106)
Er (0.190, 0.154, 0.894)
Er (0.810, 0.260, 0.106)
Er (0.379, 0.037, 0.285)
Er (0.621, 0.752, 0.715)
Er (0.405, 0.537, 0.285)
Er (0.595, 0.252, 0.715)
Er (0.000, 0.651, 0.500)
Er (0.000, 0.151, 0.500)

***

Record 3
DFT (PBE) results for a geometry-optimized BeFe2C structure.

Offset from the most stable computed form: 0.348 eV per atom
ΔH_f (0 K): 462 meV per atom
Space-group type: Fm-3m, No. 225

Cell: 3.545 3.545 3.545 Å, 60.00 60.00 60.00°
Fractional positions:
Be (0.000, 0.000, 0.000)
C (0.500, 0.500, 0.500)
Fe (0.250, 0.250, 0.250)
Fe (0.750, 0.750, 0.750)

***

Q: Look up the ΔH_f (0 K) of the first one.
A: -181 meV per atom